Record 1
# Nd2InSiI2 | OQMD | PBE | optimized geometry
data_Nd2InSiI2
_chemical_formula_sum 'Nd2 In1 Si1 I2'
_cell_length_a 4.3800
_cell_length_b 4.3800
_cell_length_c 12.5951
_cell_angle_alpha 90.00
_cell_angle_beta 90.00
_cell_angle_gamma 120.00
_symmetry_space_group_name_H-M 'P 1'
_symmetry_Int_Tables_number 1
loop_
_symmetry_equiv_pos_as_xyz
'x,y,z'
loop_
_atom_site_label
_atom_site_type_symbol
_atom_site_fract_x
_atom_site_fract_y
_atom_site_fract_z
Nd1 Nd 0.0000 0.0000 0.8275
In1 In 0.3333 0.6667 0.9791
I1 I 0.6667 0.3333 0.6669
Si1 Si 0.6667 0.3333 0.0263
Nd2 Nd 0.0000 0.0000 0.1694
I2 I 0.3333 0.6667 0.3309
# Theoretical density in g cm⁻³: 5.4
# Spin magnetization in μB per cell: 0.00
# Electronic total energy in eV per atom: -4.40



Record 2
# TlIrO4 | OQMD | PBE | optimized geometry
data_TlIrO4
_chemical_formula_sum 'Tl2 Ir2 O8'
_cell_length_a 5.9459
_cell_length_b 4.8622
_cell_length_c 5.4680
_cell_angle_alpha 90.00
_cell_angle_beta 106.73
_cell_angle_gamma 90.00
_symmetry_space_group_name_H-M 'P 1'
_symmetry_Int_Tables_number 1
loop_
_symmetry_equiv_pos_as_xyz
'x,y,z'
loop_
_atom_site_label
_atom_site_type_symbol
_atom_site_fract_x
_atom_site_fract_y
_atom_site_fract_z
O1 O 0.1068 0.3047 0.8315
O2 O 0.6753 0.1278 0.8912
O3 O 0.6753 0.3722 0.3912
Tl1 Tl 0.5000 0.5000 0.0000
O4 O 0.1068 0.1953 0.3315
O5 O 0.8932 0.6953 0.1685
Ir1 Ir 0.0000 0.0000 0.0000
O6 O 0.3247 0.6278 0.6088
O7 O 0.3247 0.8722 0.1088
O8 O 0.8932 0.8047 0.6685
Ir2 Ir 0.0000 0.5000 0.5000
Tl2 Tl 0.5000 0.0000 0.5000
# Theoretical density in g cm⁻³: 10.1
# Spin magnetization in μB per cell: 0.04
# Electronic total energy in eV per atom: -5.83



Record 3
# NdGeAs2 | OQMD | PBE | optimized geometry
data_NdGeAs2
_chemical_formula_sum 'Nd2 Ge2 As4'
_cell_length_a 6.3804
_cell_length_b 6.3804
_cell_length_c 6.3804
_cell_angle_alpha 110.52
_cell_angle_beta 110.52
_cell_angle_gamma 107.40
_symmetry_space_group_name_H-M 'P 1'
_symmetry_Int_Tables_number 1
loop_
_symmetry_equiv_pos_as_xyz
'x,y,z'
loop_
_atom_site_label
_atom_site_type_symbol
_atom_site_fract_x
_atom_site_fract_y
_atom_site_fract_z
As1 As 0.3750 0.8233 0.9483
Nd1 Nd 0.0000 0.0000 0.0000
As2 As 0.8750 0.4267 0.0517
Nd2 Nd 0.7500 0.2500 0.5000
As3 As 0.5733 0.6250 0.4483
Ge1 Ge 0.2500 0.7500 0.5000
As4 As 0.1767 0.1250 0.5517
Ge2 Ge 0.5000 0.5000 0.0000
# Theoretical density in g cm⁻³: 6.1
# Spin magnetization in μB per cell: 0.00
# Electronic total energy in eV per atom: -5.09



Record 4
# ErPaNO | OQMD | PBE | optimized geometry
data_ErPaNO
_chemical_formula_sum 'Er2 Pa2 N2 O2'
_cell_length_a 3.9324
_cell_length_b 5.0459
_cell_length_c 7.0240
_cell_angle_alpha 90.00
_cell_angle_beta 90.00
_cell_angle_gamma 90.00
_symmetry_space_group_name_H-M 'P 1'
_symmetry_Int_Tables_number 1
loop_
_symmetry_equiv_pos_as_xyz
'x,y,z'
loop_
_atom_site_label
_atom_site_type_symbol
_atom_site_fract_x
_atom_site_fract_y
_atom_site_fract_z
O1 O 0.5000 0.9385 0.8070
N1 N 0.0000 0.9392 0.3428
N2 N 0.0000 0.4392 0.6572
Er1 Er 0.0000 0.4379 0.3354
O2 O 0.5000 0.4385 0.1930
Pa1 Pa 0.5000 0.9384 0.1543
Er2 Er 0.0000 0.9379 0.6646
Pa2 Pa 0.5000 0.4384 0.8457
# Theoretical density in g cm⁻³: 10.2
# E above lowest polymorph in meV per atom: 0
# Spin magnetization in μB per cell: 2.49



Record 5
# RbAlNiSe3 | OQMD | PBE | optimized geometry
data_RbAlNiSe3
_chemical_formula_sum 'Rb2 Al2 Ni2 Se6'
_cell_length_a 8.0918
_cell_length_b 8.0918
_cell_length_c 10.3362
_cell_angle_alpha 90.00
_cell_angle_beta 90.00
_cell_angle_gamma 152.84
_symmetry_space_group_name_H-M 'P 1'
_symmetry_Int_Tables_number 1
loop_
_symmetry_equiv_pos_as_xyz
'x,y,z'
loop_
_atom_site_label
_atom_site_type_symbol
_atom_site_fract_x
_atom_site_fract_y
_atom_site_fract_z
Al1 Al 0.9676 0.0324 0.7500
Rb1 Rb 0.7516 0.2484 0.2500
Ni1 Ni 0.5000 0.5000 0.0000
Se1 Se 0.8946 0.1054 0.9502
Se2 Se 0.1054 0.8946 0.0498
Se3 Se 0.8946 0.1054 0.5498
Ni2 Ni 0.5000 0.5000 0.5000
Se4 Se 0.5620 0.4380 0.7500
Se5 Se 0.4380 0.5620 0.2500
Al2 Al 0.0324 0.9676 0.2500
Se6 Se 0.1054 0.8946 0.4502
Rb2 Rb 0.2484 0.7516 0.7500
# Theoretical density in g cm⁻³: 4.4
# Spin magnetization in μB per cell: 2.50
# Electronic total energy in eV per atom: -4.16